Record 1
Entry from the Alexandria database: LiAgIO4 after structural relaxation (GGA-PBE).

Summary:
- Crystal system: orthorhombic
- Raw formation energy: -0.5261 eV/atom
- DOS(E_F): 2.7 states/eV/f.u.
- Total energy: -4.2616 eV per atom
- Spin magnetization: 0.00 μB/f.u.

a = 6.548 Å, b = 6.389 Å, c = 6.389 Å
α = 66.93°, β = 59.18°, γ = 59.18°
Element x y z (fractional)
Li1 0.000 0.000 0.000
Li2 0.000 0.500 0.500
O1 0.240 0.779 0.742
Ag1 0.500 0.000 0.500
O2 0.760 0.758 0.721
O3 0.240 0.242 0.279
Ag2 0.000 0.000 0.500
O4 0.677 0.294 0.794
I1 0.682 0.568 0.068
O5 0.760 0.221 0.258
I2 0.318 0.432 0.932
O6 0.765 0.706 0.206
O7 0.323 0.706 0.206
O8 0.235 0.294 0.794

***

Record 2
Entry from the Alexandria database: RbBaSr2B after structural relaxation (GGA-PBE).

Summary:
- Crystal system: tetragonal
- DOS(E_F): 7.7 states/eV/f.u.
- Total energy: -0.8148 eV per atom
- Energy of formation from the pure elements: 40.851 kcal/mol of atoms
- Spin magnetization: 3.95 μB/f.u.

a = 7.321 Å, b = 7.538 Å, c = 7.321 Å
α = 90.00°, β = 90.00°, γ = 90.00°
Each line ends with the local moment (μB).
Element x y z (fractional)
Sr1 0.500 0.000 0.000  0.08
Sr2 0.000 0.000 0.500  0.14
Rb1 0.000 0.500 0.000  0.04
B1 0.500 0.500 0.500  0.41
Ba1 0.000 0.000 0.000  0.36

***

Record 3
Entry from the Alexandria database: TlPdPt after structural relaxation (GGA-PBE).

Summary:
- Crystal system: trigonal
- DOS(E_F): 0.6 states/eV/f.u.
- E above lowest polymorph: 0.031 eV per atom
- Total energy: -4.5562 eV per atom
- Energy of formation from the pure elements: -0.529 kcal/mol of atoms
- Spin magnetization: 0.00 μB/f.u.

a = 3.034 Å, b = 4.539 Å, c = 4.539 Å
α = 120.00°, β = 90.00°, γ = 90.00°
Element x y z (fractional)
Tl1 0.665 0.667 0.333
Pd1 0.989 0.000 0.000
Pt1 0.345 0.333 0.667

***

Record 4
Entry from the Alexandria database: Rb4La3PrSe8 after structural relaxation (GGA-PBE).

Summary:
- Crystal system: trigonal
- Raw formation energy: -1.7952 eV/atom
- DOS(E_F): 0.0 states/eV/f.u.
- Total energy: -5.0020 eV per atom
- Spin magnetization: 0.00 μB/f.u.

a = 8.913 Å, b = 9.517 Å, c = 8.913 Å
α = 117.95°, β = 120.00°, γ = 90.00°
Element x y z (fractional)
Se1 0.233 0.702 0.466
Se2 0.233 0.702 0.969
Rb1 0.000 0.000 0.500
Se3 0.264 0.298 0.031
La1 0.500 0.500 0.000
Se4 0.734 0.702 0.468
Se5 0.767 0.298 0.031
Rb2 0.000 0.000 0.000
Rb3 0.500 0.000 0.000
La2 0.000 0.500 0.500
Se6 0.767 0.298 0.534
Se7 0.736 0.702 0.969
Rb4 0.500 0.000 0.500
Se8 0.266 0.298 0.532
Pr1 0.000 0.500 0.000
La3 0.500 0.500 0.500

***

Record 5
Entry from the Alexandria database: HfTi2CuPd after structural relaxation (GGA-PBE).

Summary:
- Crystal system: tetragonal
- DOS(E_F): 9.4 states/eV/f.u.
- Total energy: -6.4508 eV per atom
- Energy of formation from the pure elements: 12.813 kcal/mol of atoms
- Spin magnetization: 0.00 μB/f.u.

a = 4.513 Å, b = 4.871 Å, c = 4.513 Å
α = 90.00°, β = 90.00°, γ = 90.00°
Element x y z (fractional)
Ti1 0.500 0.000 0.000
Cu1 0.000 0.000 0.000
Pd1 0.500 0.500 0.500
Ti2 0.000 0.000 0.500
Hf1 0.000 0.500 0.000